Entry 1:
# TbH4Pt (PBE, relaxed)
# Volume ... 10.4 Å³ per atom
# Total DFT energy (no corrections) ... -53.29 eV per cell
data_TbH4Pt
_chemical_formula_sum 'Tb2 H8 Pt2'
_symmetry_space_group_name_H-M 'P m m n'
_symmetry_Int_Tables_number 59
_cell_length_a 3.896
_cell_length_b 6.579
_cell_length_c 4.868
_cell_angle_alpha 90.00
_cell_angle_beta 90.00
_cell_angle_gamma 90.00
loop_
_symmetry_equiv_pos_as_xyz
'x,y,z'
'-x,-y,-z'
'-x+1/2,-y+1/2,z'
'x+1/2,y+1/2,-z'
'x+1/2,-y,-z'
'-x+1/2,y,z'
'-x,y+1/2,-z'
'x,-y+1/2,z'
loop_
_atom_site_label
_atom_site_fract_x
_atom_site_fract_y
_atom_site_fract_z
_atom_site_occupancy
Tb1 0.250 0.250 0.205 1
H1 0.250 0.250 0.713 1
H2 0.250 0.580 0.013 1
H3 0.250 0.750 0.616 1
Pt1 0.250 0.750 0.276 1

=====

Entry 2:
# TbH8Pt2 (PBE, relaxed)
# Volume ... 9.1 Å³ per atom
# Total DFT energy (no corrections) ... -92.49 eV per cell
data_TbH8Pt2
_chemical_formula_sum 'Tb2 H16 Pt4'
_symmetry_space_group_name_H-M 'C 1 2/m 1'
_symmetry_Int_Tables_number 12
_cell_length_a 8.100
_cell_length_b 7.363
_cell_length_c 3.771
_cell_angle_alpha 90.00
_cell_angle_beta 117.57
_cell_angle_gamma 90.00
loop_
_symmetry_equiv_pos_as_xyz
'x,y,z'
'-x,-y,-z'
'-x,y,-z'
'x,-y,z'
'x+1/2,y+1/2,z'
'-x+1/2,-y+1/2,-z'
'-x+1/2,y+1/2,-z'
'x+1/2,-y+1/2,z'
loop_
_atom_site_label
_atom_site_fract_x
_atom_site_fract_y
_atom_site_fract_z
_atom_site_occupancy
Tb1 0.000 0.000 0.000 1
H1 0.000 0.316 0.000 1
H2 0.159 0.500 0.661 1
H3 0.161 0.148 0.661 1
Pt1 0.000 0.308 0.500 1

=====

Entry 3:
# TbH4Pt2 (PBE, relaxed)
# Volume ... 12.0 Å³ per atom
# Total DFT energy (no corrections) ... -130.28 eV per cell
data_TbH4Pt2
_chemical_formula_sum 'Tb4 H16 Pt8'
_symmetry_space_group_name_H-M 'I -4 2 d'
_symmetry_Int_Tables_number 122
_symmetry_space_group_name_Hall 'I -4 2bw'
_cell_length_a 5.021
_cell_length_b 5.021
_cell_length_c 13.360
_cell_angle_alpha 90.00
_cell_angle_beta 90.00
_cell_angle_gamma 90.00
loop_
_atom_site_label
_atom_site_fract_x
_atom_site_fract_y
_atom_site_fract_z
_atom_site_occupancy
Tb1 0.000 0.000 0.000 1
H1 0.030 0.745 0.407 1
Pt1 0.101 0.750 0.625 1

=====

Entry 4:
# TbHPt3 (PBE, relaxed)
# E above lowest polymorph ... 0.0000 eV per atom
# Volume ... 14.9 Å³ per atom
data_TbHPt3
_chemical_formula_sum 'Tb3 H3 Pt9'
_symmetry_space_group_name_H-M 'R 3 m'
_symmetry_Int_Tables_number 160
_symmetry_space_group_name_Hall 'R 3 -2"'
_cell_length_a 5.9642
_cell_length_b 5.9642
_cell_length_c 7.2421
_cell_angle_alpha 90.00
_cell_angle_beta 90.00
_cell_angle_gamma 120.00
loop_
_atom_site_label
_atom_site_fract_x
_atom_site_fract_y
_atom_site_fract_z
_atom_site_occupancy
Tb1 0.0000 0.0000 0.0000 1
H1 0.0000 0.0000 0.6636 1
Pt1 0.0155 0.5077 0.0017 1

=====

Entry 5:
# TbHPt3 (PBE, relaxed)
# E above lowest polymorph ... 0.2075 eV per atom
# Volume ... 15.5 Å³ per atom
data_TbHPt3
_chemical_formula_sum 'Tb6 H6 Pt18'
_symmetry_space_group_name_H-M 'R -3 c'
_symmetry_Int_Tables_number 167
_symmetry_space_group_name_Hall '-R 3 2"c'
_cell_length_a 7.5098
_cell_length_b 7.5098
_cell_length_c 9.4988
_cell_angle_alpha 90.00
_cell_angle_beta 90.00
_cell_angle_gamma 120.00
loop_
_atom_site_label
_atom_site_fract_x
_atom_site_fract_y
_atom_site_fract_z
_atom_site_occupancy
Tb1 0.0000 0.0000 0.0000 1
H1 0.0000 0.0000 0.2500 1
Pt1 0.0000 0.2510 0.2500 1

=====

Entry 6:
# TbH4Pt (PBE, relaxed)
# Volume ... 10.0 Å³ per atom
# Total DFT energy (no corrections) ... -54.05 eV per cell
data_TbH4Pt
_chemical_formula_sum 'Tb2 H8 Pt2'
_symmetry_space_group_name_H-M 'C 1 2/m 1'
_symmetry_Int_Tables_number 12
_cell_length_a 7.646
_cell_length_b 4.535
_cell_length_c 4.095
_cell_angle_alpha 90.00
_cell_angle_beta 122.27
_cell_angle_gamma 90.00
loop_
_symmetry_equiv_pos_as_xyz
'x,y,z'
'-x,-y,-z'
'-x,y,-z'
'x,-y,z'
'x+1/2,y+1/2,z'
'-x+1/2,-y+1/2,-z'
'-x+1/2,y+1/2,-z'
'x+1/2,-y+1/2,z'
loop_
_atom_site_label
_atom_site_fract_x
_atom_site_fract_y
_atom_site_fract_z
_atom_site_occupancy
Tb1 0.000 0.000 0.000 1
H1 0.176 0.230 0.677 1
Pt1 0.000 0.500 0.500 1

=====

Entry 7:
# TbH6Pt4 (PBE, relaxed)
# Volume ... 11.1 Å³ per atom
# Total DFT energy (no corrections) ... -51.89 eV per cell
data_TbH6Pt4
_chemical_formula_sum 'Tb1 H6 Pt4'
_symmetry_space_group_name_H-M 'P 1'
_symmetry_Int_Tables_number 1
_cell_length_a 5.095
_cell_length_b 5.328
_cell_length_c 5.463
_cell_angle_alpha 103.09
_cell_angle_beta 116.37
_cell_angle_gamma 100.59
loop_
_symmetry_equiv_pos_as_xyz
'x,y,z'
loop_
_atom_site_label
_atom_site_fract_x
_atom_site_fract_y
_atom_site_fract_z
_atom_site_occupancy
Tb1 0.000 0.000 0.000 1
H1 0.157 0.583 0.069 1
H2 0.326 0.966 0.491 1
H3 0.508 0.929 0.038 1
H4 0.535 0.636 0.554 1
H5 0.705 0.565 0.059 1
H6 0.968 0.459 0.563 1
Pt1 0.163 0.189 0.613 1
Pt2 0.541 0.807 0.330 1
Pt3 0.641 0.288 0.172 1
Pt4 0.767 0.415 0.757 1

=====

Entry 8:
# TbHPt3 (PBE, relaxed)
# E above lowest polymorph ... 0.0631 eV per atom
# Volume ... 14.6 Å³ per atom
data_TbHPt3
_chemical_formula_sum 'Tb1 H1 Pt3'
_symmetry_space_group_name_H-M 'P m -3 m'
_symmetry_Int_Tables_number 221
_symmetry_space_group_name_Hall '-P 4 2 3'
_cell_length_a 4.182
_cell_length_b 4.182
_cell_length_c 4.182
_cell_angle_alpha 90.00
_cell_angle_beta 90.00
_cell_angle_gamma 90.00
loop_
_atom_site_label
_atom_site_fract_x
_atom_site_fract_y
_atom_site_fract_z
_atom_site_occupancy
Tb1 0.000 0.000 0.000 1
H1 0.500 0.500 0.500 1
Pt1 0.000 0.500 0.500 1

=====

Entry 9:
# Tb2ZnHPt6 (PBE, relaxed)
# Volume ... 17.0 Å³ per atom
# Total DFT energy (no corrections) ... -115.66 eV per cell
data_Tb2ZnHPt6
_chemical_formula_sum 'Tb4 Zn2 H2 Pt12'
_symmetry_space_group_name_H-M 'C 1 2/m 1'
_symmetry_Int_Tables_number 12
_cell_length_a 9.720
_cell_length_b 5.620
_cell_length_c 7.014
_cell_angle_alpha 90.00
_cell_angle_beta 117.39
_cell_angle_gamma 90.00
loop_
_symmetry_equiv_pos_as_xyz
'x,y,z'
'-x,-y,-z'
'-x,y,-z'
'x,-y,z'
'x+1/2,y+1/2,z'
'-x+1/2,-y+1/2,-z'
'-x+1/2,y+1/2,-z'
'x+1/2,-y+1/2,z'
loop_
_atom_site_label
_atom_site_fract_x
_atom_site_fract_y
_atom_site_fract_z
_atom_site_occupancy
Tb1 0.215 0.000 0.144 1
Zn1 0.000 0.500 0.000 1
H1 0.000 0.000 0.500 1
Pt1 0.021 0.251 0.309 1
Pt2 0.231 0.000 0.692 1

=====

Entry 10:
# Tc3HPt (PBE, relaxed)
# E above lowest polymorph ... 0.0000 eV per atom
# Volume ... 12.1 Å³ per atom
data_Tc3HPt
_chemical_formula_sum 'Tc3 H1 Pt1'
_symmetry_space_group_name_H-M 'P m -3 m'
_symmetry_Int_Tables_number 221
_symmetry_space_group_name_Hall '-P 4 2 3'
_cell_length_a 3.931
_cell_length_b 3.931
_cell_length_c 3.931
_cell_angle_alpha 90.00
_cell_angle_beta 90.00
_cell_angle_gamma 90.00
loop_
_atom_site_label
_atom_site_fract_x
_atom_site_fract_y
_atom_site_fract_z
_atom_site_occupancy
Tc1 0.000 0.000 0.500 1
H1 0.000 0.000 0.000 1
Pt1 0.500 0.500 0.500 1

=====

Entry 11:
# TcHPt (PBE, relaxed)
# E above lowest polymorph ... 0.0459 eV per atom
# Volume ... 11.2 Å³ per atom
data_TcHPt
_chemical_formula_sum 'Tc4 H4 Pt4'
_symmetry_space_group_name_H-M 'P n m a'
_symmetry_Int_Tables_number 62
_cell_length_a 5.211
_cell_length_b 4.492
_cell_length_c 5.763
_cell_angle_alpha 90.00
_cell_angle_beta 90.00
_cell_angle_gamma 90.00
loop_
_symmetry_equiv_pos_as_xyz
'x,y,z'
'-x,-y,-z'
'-x+1/2,-y,z+1/2'
'x+1/2,y,-z+1/2'
'x+1/2,-y+1/2,-z+1/2'
'-x+1/2,y+1/2,z+1/2'
'-x,y+1/2,-z'
'x,-y+1/2,z'
loop_
_atom_site_label
_atom_site_fract_x
_atom_site_fract_y
_atom_site_fract_z
_atom_site_occupancy
Tc1 0.065 0.250 0.115 1
H1 0.084 0.750 0.603 1
Pt1 0.128 0.250 0.638 1

=====

Entry 12:
# Tc3HPt (PBE, relaxed)
# E above lowest polymorph ... 2.6047 eV per atom
# Volume ... 22.9 Å³ per atom
data_Tc3HPt
_chemical_formula_sum 'Tc3 H1 Pt1'
_symmetry_space_group_name_H-M 'P m -3 m'
_symmetry_Int_Tables_number 221
_symmetry_space_group_name_Hall '-P 4 2 3'
_cell_length_a 4.857
_cell_length_b 4.857
_cell_length_c 4.857
_cell_angle_alpha 90.00
_cell_angle_beta 90.00
_cell_angle_gamma 90.00
loop_
_atom_site_label
_atom_site_fract_x
_atom_site_fract_y
_atom_site_fract_z
_atom_site_occupancy
Tc1 0.000 0.000 0.500 1
H1 0.500 0.500 0.500 1
Pt1 0.000 0.000 0.000 1

=====

> Which of these has the highest volume?

number 12

=====

> Among the records above, which one has the highest volume?

number 12

=====

> The lowest volume belongs to which entry?

TbH8Pt2